Material: Cs2NiAuF6
Method: DFT, PBE with a Hubbard U
State: optimized geometry

a = 6.395 Å, b = 6.395 Å, c = 6.213 Å
α = 59.03°, β = 59.03°, γ = 90.00°
Each line ends with the local moment (μB).
Atoms (fractional coordinates):
F 0.721 0.279 0.000  -0.03
Ni 0.500 0.500 0.000  1.76
F 0.279 0.279 0.000  -0.03
Cs 0.750 0.250 0.500  0.00
Au 0.000 0.000 0.000  -0.53
F 0.279 0.721 0.000  -0.03
F 0.721 0.721 0.000  -0.03
Cs 0.250 0.750 0.500  0.00
F 0.246 0.246 0.507  -0.05
F 0.754 0.754 0.493  -0.05

Results
Electronic total energy = -3.887 eV/atom
V = 17.425 A^3/atom
Mass density = 6.06 g cm⁻³